Compound: CdInF3
Source: the Alexandria database
Functional: PBE-GGA
Structure: optimized geometry

Total DFT energy (no corrections) ... -0.14079 hartree per atom
Uncorrected formation energy ... -1.98 eV per atom
Symmetry ... No. 11
V ... 169 Å³/cell
Crystal system ... monoclinic
M_tot ... 0.000 μB per atom

abc: 6.035 3.661 7.750
angles: 90.00 98.81 90.00
Fractional coordinates of all 10 atoms:
Cd  0.236  0.250  0.413
Cd  0.764  0.750  0.587
In  0.259  0.750  0.921
In  0.741  0.250  0.079
F  0.027  0.250  0.638
F  0.141  0.250  0.110
F  0.452  0.750  0.365
F  0.548  0.250  0.635
F  0.859  0.750  0.890
F  0.973  0.750  0.362

=====

Compound: YHgPd6
Source: the Alexandria database
Functional: PBE-GGA
Structure: optimized geometry

Total DFT energy (no corrections) ... -0.19206 hartree per atom
Symmetry ... No. 123
D(E_F) ... 0.888 states/eV/atom
Calculated formation energy ... -0.486 eV per atom
V ... 137 Å³/cell
Energy relative to the lowest polymorph listed for this composition ... 0 meV per atom
Crystal system ... tetragonal
M_tot ... 0.000 μB per atom

abc: 5.749 5.749 4.156
angles: 90.00 90.00 90.00
Fractional coordinates of all 8 atoms:
Y  0.000  0.000  0.000
Hg  0.500  0.500  0.000
Pd  0.000  0.500  0.000
Pd  0.253  0.253  0.500
Pd  0.253  0.747  0.500
Pd  0.500  0.000  0.000
Pd  0.747  0.253  0.500
Pd  0.747  0.747  0.500

=====

Compound: Mg8In6Pb
Source: the Alexandria database
Functional: PBE-GGA
Structure: optimized geometry

Total DFT energy (no corrections) ... -0.08000 hartree per atom
Symmetry ... No. 148
D(E_F) ... 0.458 states/eV/atom
Calculated formation energy ... 0.016 eV per atom
V ... 380 Å³/cell
Crystal system ... trigonal
M_tot ... 0.000 μB per atom

abc: 7.367 7.367 7.367
angles: 79.03 79.03 79.03
Fractional coordinates of all 15 atoms:
Mg  0.056  0.382  0.843
Mg  0.157  0.944  0.618
Mg  0.234  0.234  0.234
Mg  0.382  0.843  0.056
Mg  0.618  0.157  0.944
Mg  0.766  0.766  0.766
Mg  0.843  0.056  0.382
Mg  0.944  0.618  0.157
In  0.192  0.597  0.441
In  0.403  0.559  0.808
In  0.441  0.192  0.597
In  0.559  0.808  0.403
In  0.597  0.441  0.192
In  0.808  0.403  0.559
Pb  0.000  0.000  0.000

=====

Compound: Y2CoPbC
Source: the Alexandria database
Functional: PBE-GGA
Structure: optimized geometry

Total DFT energy (no corrections) ... -0.25399 hartree per atom
Symmetry ... No. 123
D(E_F) ... 0.648 states/eV/atom
Calculated formation energy ... -0.318 eV per atom
V ... 99 Å³/cell
Crystal system ... tetragonal
M_tot ... 0.083 μB per atom

abc: 5.132 5.132 3.761
angles: 90.00 90.00 90.00
Fractional coordinates of all 5 atoms:
Y  0.000  0.500  0.000
Y  0.500  0.000  0.000
Co  0.000  0.000  0.500
Pb  0.500  0.500  0.500
C  0.000  0.000  0.000

=====

Compound: GdNbTc4
Source: the Alexandria database
Functional: PBE-GGA
Structure: optimized geometry

Total DFT energy (no corrections) ... -0.40216 hartree per atom
Symmetry ... No. 216
D(E_F) ... 1.549 states/eV/atom
Calculated formation energy ... -0.008 eV per atom
V ... 105 Å³/cell
Crystal system ... cubic
M_tot ... 1.135 μB per atom

abc: 5.295 5.295 5.295
angles: 60.00 60.00 60.00
Fractional coordinates of all 6 atoms:
Gd  0.000  0.000  0.000
Nb  0.750  0.750  0.750
Tc  0.376  0.376  0.376
Tc  0.376  0.376  0.873
Tc  0.376  0.873  0.376
Tc  0.873  0.376  0.376

=====

Compound: LiYPd5
Source: the Alexandria database
Functional: PBE-GGA
Structure: optimized geometry

Total DFT energy (no corrections) ... -0.19679 hartree per atom
Symmetry ... No. 123
D(E_F) ... 0.748 states/eV/atom
Calculated formation energy ... -0.449 eV per atom
V ... 119 Å³/cell
Crystal system ... tetragonal
M_tot ... 0.000 μB per atom

abc: 4.164 4.164 6.845
angles: 90.00 90.00 90.00
Fractional coordinates of all 7 atoms:
Li  0.000  0.000  0.000
Y  0.500  0.500  0.500
Pd  0.000  0.000  0.500
Pd  0.000  0.500  0.207
Pd  0.000  0.500  0.793
Pd  0.500  0.000  0.207
Pd  0.500  0.000  0.793

=====

Compound: Tb6Ce2Dy3Er
Source: the Alexandria database
Functional: PBE-GGA
Structure: optimized geometry

Total DFT energy (no corrections) ... -0.17597 hartree per atom
Symmetry ... No. 12
D(E_F) ... 1.817 states/eV/atom
Calculated formation energy ... 0.047 eV per atom
V ... 377 Å³/cell
Crystal system ... monoclinic
M_tot ... 0.158 μB per atom

abc: 6.135 6.135 11.754
angles: 95.00 95.00 119.99
Fractional coordinates of all 12 atoms:
Tb  0.081  0.416  0.751
Tb  0.249  0.249  0.249
Tb  0.416  0.081  0.751
Tb  0.584  0.919  0.249
Tb  0.751  0.751  0.751
Tb  0.919  0.584  0.249
Ce  0.166  0.834  0.000
Ce  0.834  0.166  0.000
Dy  0.000  0.000  0.500
Dy  0.334  0.666  0.500
Dy  0.666  0.334  0.500
Er  0.500  0.500  0.000

=====

Compound: CePm6Pr10
Source: the Alexandria database
Functional: PBE-GGA
Structure: optimized geometry

Total DFT energy (no corrections) ... -0.17254 hartree per atom
Symmetry ... No. 162
D(E_F) ... 1.762 states/eV/atom
Calculated formation energy ... 0.142 eV per atom
V ... 610 Å³/cell
Crystal system ... trigonal
M_tot ... 0.054 μB per atom

abc: 9.993 9.993 7.050
angles: 90.00 90.00 120.00
Fractional coordinates of all 17 atoms:
Ce  0.000  0.000  0.000
Pm  0.000  0.375  0.801
Pm  0.000  0.625  0.199
Pm  0.375  0.000  0.801
Pm  0.375  0.375  0.199
Pm  0.625  0.000  0.199
Pm  0.625  0.625  0.801
Pr  0.000  0.269  0.311
Pr  0.000  0.731  0.689
Pr  0.269  0.000  0.311
Pr  0.269  0.269  0.689
Pr  0.333  0.667  0.000
Pr  0.333  0.667  0.500
Pr  0.667  0.333  0.000
Pr  0.667  0.333  0.500
Pr  0.731  0.000  0.689
Pr  0.731  0.731  0.311